Entry 1:
CsSb3P after structural relaxation. Source: the Alexandria database, functional PBE.

Calculated values
For the energy above the most stable polymorph in this dataset, the calculation gives 0 meV per atom. As for the raw formation energy: 0.286 eV per atom. Its total magnetic moment is 0.00 μB per atom.

The structure in POSCAR format:
```
CsSb3P
1.0
5.488 0.000 0.000
0.000 5.488 0.000
0.000 0.000 5.488
Cs Sb P
1 3 1
Direct
0.000 0.000 0.000
0.000 0.500 0.500
0.500 0.000 0.500
0.500 0.500 0.000
0.500 0.500 0.500
```

Entry 2:
DyNb2Co after structural relaxation. Source: the Alexandria database, functional PBE.

Calculated values
Its total magnetic moment is 0.11 μB per atom. The value obtained for the energy of formation is 0.55 eV/atom.

The structure in POSCAR format:
```
DyNb2Co
1.0
1.477 0.853 10.138
-1.477 0.853 10.138
0.000 -1.706 10.138
Dy Nb Co
1 2 1
Direct
0.000 0.000 0.000
0.100 0.100 0.100
0.900 0.900 0.900
0.500 0.500 0.500
```

Entry 3:
Sr3PmHo2Se6 after structural relaxation. Source: the Alexandria database, functional PBE.

Calculated values
As for the raw formation energy: -1.885 eV per atom. Its total magnetic moment is 0.00 μB per atom.

The structure in POSCAR format:
```
Sr3PmHo2Se6
1.0
3.658 -6.328 0.000
3.658 6.328 0.000
-2.442 0.000 7.064
Sr Pm Ho Se
3 1 2 6
Direct
0.000 0.000 0.000
0.336 0.664 0.000
0.664 0.336 0.000
0.500 0.500 0.500
0.167 0.833 0.500
0.833 0.167 0.500
0.081 0.422 0.267
0.235 0.235 0.731
0.422 0.081 0.267
0.578 0.919 0.733
0.765 0.765 0.269
0.919 0.578 0.733
```

Entry 4:
Mg6Zn6In after structural relaxation. Source: the Alexandria database, functional PBE.

Calculated values
Its total magnetic moment is 0.00 μB per atom. The value obtained for the energy of formation is -0.05 eV/atom.

The structure in POSCAR format:
```
Mg6Zn6In
1.0
-2.808 4.570 4.870
2.808 -4.570 4.870
2.808 4.570 -4.870
Mg Zn In
6 6 1
Direct
0.157 0.157 0.000
0.165 0.500 0.665
0.322 0.000 0.322
0.678 0.000 0.678
0.835 0.500 0.335
0.843 0.843 0.000
0.000 0.000 0.500
0.000 0.500 0.000
0.252 0.752 0.500
0.500 0.000 0.000
0.500 0.500 0.500
0.748 0.248 0.500
0.500 0.500 0.000
```

Entry 5:
CeYCo2H8 after structural relaxation. Source: the Alexandria database, functional PBE.

Calculated values
Its total magnetic moment is 0.25 μB per atom.

The structure in POSCAR format:
```
CeYCo2H8
1.0
2.229 1.287 6.074
-2.229 1.287 6.074
0.000 -2.574 6.074
Ce Y Co H
1 1 2 8
Direct
0.000 0.000 0.000
0.500 0.500 0.500
0.271 0.271 0.271
0.729 0.729 0.729
0.049 0.049 0.572
0.049 0.572 0.049
0.361 0.361 0.361
0.428 0.951 0.951
0.572 0.049 0.049
0.639 0.639 0.639
0.951 0.428 0.951
0.951 0.951 0.428
```

Entry 6:
CaLaIrI after structural relaxation. Source: the Alexandria database, functional PBE.

Calculated values
As for the raw formation energy: -0.910 eV per atom. Its total magnetic moment is 0.00 μB per atom.

The structure in POSCAR format:
```
CaLaIrI
1.0
2.114 1.221 8.078
-2.114 1.221 8.078
0.000 -2.441 8.078
Ca La Ir I
1 1 1 1
Direct
0.000 0.000 0.000
0.208 0.208 0.208
0.599 0.599 0.599
0.767 0.767 0.767
```

Entry 7:
Y5Ga2Te2 after structural relaxation. Source: the Alexandria database, functional PBE.

Calculated values
As for the raw formation energy: -0.948 eV per atom. Its total magnetic moment is 0.15 μB per atom.

The structure in POSCAR format:
```
Y5Ga2Te2
1.0
7.699 -3.949 0.000
7.699 3.949 0.000
0.000 0.000 7.920
Y Ga Te
10 4 4
Direct
0.000 0.000 0.000
0.040 0.704 0.668
0.204 0.540 0.168
0.296 0.960 0.668
0.460 0.796 0.168
0.500 0.500 0.500
0.540 0.204 0.832
0.704 0.040 0.332
0.796 0.460 0.832
0.960 0.296 0.332
0.127 0.873 0.375
0.373 0.627 0.875
0.627 0.373 0.125
0.873 0.127 0.625
0.205 0.205 0.000
0.295 0.295 0.500
0.705 0.705 0.500
0.795 0.795 0.000
```

Entry 8:
CsSr2Os after structural relaxation. Source: the Alexandria database, functional PBE.

Calculated values
For the energy above the most stable polymorph in this dataset, the calculation gives 0 meV per atom. Its total magnetic moment is 0.00 μB per atom. The value obtained for the energy of formation is 0.87 eV/atom.

The structure in POSCAR format:
```
CsSr2Os
1.0
-4.377 4.377 6.212
4.377 -4.377 6.212
4.377 4.377 -6.212
Cs Sr Os
2 4 2
Direct
0.000 0.000 0.000
0.750 0.250 0.500
0.373 0.625 0.248
0.375 0.623 0.748
0.377 0.125 0.752
0.875 0.627 0.252
0.250 0.750 0.500
0.500 0.500 0.000
```

Entry 9:
NaLiAgO2 after structural relaxation. Source: the Alexandria database, functional PBE.

Calculated values
As for the raw formation energy: -0.842 eV per atom. Its total magnetic moment is 0.09 μB per atom.

The structure in POSCAR format:
```
NaLiAgO2
1.0
2.622 -5.372 0.000
2.622 5.372 0.000
0.000 0.000 5.257
Na Li Ag O
2 2 2 4
Direct
0.250 0.750 0.854
0.750 0.250 0.146
0.250 0.250 0.000
0.750 0.750 0.000
0.000 0.000 0.500
0.500 0.500 0.500
0.103 0.897 0.181
0.397 0.603 0.181
0.603 0.397 0.819
0.897 0.103 0.819
```

Entry 10:
PuTlAg2 after structural relaxation. Source: the Alexandria database, functional PBE.

Calculated values
Its total magnetic moment is 1.48 μB per atom. The value obtained for the energy of formation is 0.12 eV/atom.

The structure in POSCAR format:
```
PuTlAg2
1.0
3.201 0.000 0.000
0.000 3.201 0.000
0.000 0.000 9.114
Pu Tl Ag
1 1 2
Direct
0.000 0.000 0.000
0.000 0.000 0.500
0.500 0.500 0.252
0.500 0.500 0.748
```

Entry 11:
BaAl3Ge after structural relaxation. Source: the Alexandria database, functional PBE.

Calculated values
For the energy above the most stable polymorph in this dataset, the calculation gives 1873 meV per atom. Its total magnetic moment is 0.00 μB per atom. The value obtained for the energy of formation is 1.60 eV/atom.

The structure in POSCAR format:
```
BaAl3Ge
1.0
5.815 0.000 0.000
0.000 5.815 0.000
0.000 0.000 5.815
Ba Al Ge
1 3 1
Direct
0.000 0.000 0.000
0.000 0.000 0.500
0.000 0.500 0.000
0.500 0.000 0.000
0.500 0.500 0.500
```

Entry 12:
Te2WBr after structural relaxation. Source: the Alexandria database, functional PBE.

Calculated values
For the energy above the most stable polymorph in this dataset, the calculation gives 455 meV per atom. As for the raw formation energy: 0.526 eV per atom. Its total magnetic moment is 0.00 μB per atom.

The structure in POSCAR format:
```
Te2WBr
1.0
1.650 -2.745 0.000
1.650 2.745 0.000
0.000 0.000 11.516
Te W Br
2 1 1
Direct
0.000 0.000 0.000
0.500 0.500 0.305
0.000 0.000 0.497
0.500 0.500 0.674
```

Entry 13:
Ce2AlGa after structural relaxation. Source: the Alexandria database, functional PBE.

Calculated values
Its total magnetic moment is 0.00 μB per atom. The value obtained for the energy of formation is -0.40 eV/atom.

The structure in POSCAR format:
```
Ce2AlGa
1.0
3.258 -4.436 0.000
3.258 4.436 0.000
0.000 0.000 3.142
Ce Al Ga
2 1 1
Direct
0.000 0.500 0.000
0.500 0.000 0.000
0.000 0.000 0.500
0.500 0.500 0.500
```

Entry 14:
GePbOF2 after structural relaxation. Source: the Alexandria database, functional PBE.

Calculated values
For the energy above the most stable polymorph in this dataset, the calculation gives 0 meV per atom. As for the raw formation energy: -1.441 eV per atom. Its total magnetic moment is 0.00 μB per atom.

The structure in POSCAR format:
```
GePbOF2
1.0
4.455 0.000 0.000
0.000 4.455 0.000
0.000 0.000 4.022
Ge Pb O F
1 1 1 2
Direct
0.000 0.000 0.000
0.500 0.500 0.500
0.000 0.000 0.500
0.000 0.500 0.000
0.500 0.000 0.000
```

Entry 15:
LaPrTlSn after structural relaxation. Source: the Alexandria database, functional PBE.

Calculated values
For the energy above the most stable polymorph in this dataset, the calculation gives 0 meV per atom. Its total magnetic moment is 0.10 μB per atom. The value obtained for the energy of formation is -0.55 eV/atom.

The structure in POSCAR format:
```
LaPrTlSn
1.0
4.136 0.000 0.000
0.000 4.136 0.000
0.000 0.000 7.145
La Pr Tl Sn
1 1 1 1
Direct
0.000 0.000 0.000
0.000 0.000 0.524
0.500 0.500 0.270
0.500 0.500 0.755
```

Entry 16:
MgSO2 after structural relaxation. Source: the Alexandria database, functional PBE.

Calculated values
For the energy above the most stable polymorph in this dataset, the calculation gives 0 meV per atom. As for the raw formation energy: -1.382 eV per atom. Its total magnetic moment is 0.00 μB per atom.

The structure in POSCAR format:
```
MgSO2
1.0
1.496 0.863 5.737
-1.496 0.863 5.737
0.000 -1.727 5.737
Mg S O
1 1 2
Direct
0.000 0.000 0.000
0.500 0.500 0.500
0.399 0.399 0.399
0.601 0.601 0.601
```

Entry 17:
RbY2O after structural relaxation. Source: the Alexandria database, functional PBE.

Calculated values
As for the raw formation energy: -1.036 eV per atom. Its total magnetic moment is 0.00 μB per atom.

The structure in POSCAR format:
```
RbY2O
1.0
1.799 1.039 10.138
-1.799 1.039 10.138
0.000 -2.077 10.138
Rb Y O
1 2 1
Direct
0.000 0.000 0.000
0.124 0.124 0.124
0.876 0.876 0.876
0.500 0.500 0.500
```

Entry 18:
Ag2TePb after structural relaxation. Source: the Alexandria database, functional PBE.

Calculated values
For the energy above the most stable polymorph in this dataset, the calculation gives 75 meV per atom. As for the raw formation energy: 0.117 eV per atom. Its total magnetic moment is 0.00 μB per atom.

The structure in POSCAR format:
```
Ag2TePb
1.0
-4.015 4.015 3.223
4.015 -4.015 3.223
4.015 4.015 -3.223
Ag Te Pb
4 2 2
Direct
0.109 0.625 0.984
0.375 0.359 0.484
0.641 0.125 0.016
0.875 0.891 0.516
0.000 0.000 0.000
0.750 0.250 0.500
0.250 0.750 0.500
0.500 0.500 0.000
```

Entry 19:
YTa4 after structural relaxation. Source: the Alexandria database, functional PBE.

Calculated values
For the energy above the most stable polymorph in this dataset, the calculation gives 38 meV per atom. Its total magnetic moment is 0.00 μB per atom. The value obtained for the energy of formation is 0.39 eV/atom.

The structure in POSCAR format:
```
YTa4
1.0
-1.422 2.372 7.542
1.422 -2.372 7.542
1.422 2.372 -7.542
Y Ta
1 4
Direct
0.000 0.000 0.000
0.202 0.202 0.000
0.386 0.386 0.000
0.614 0.614 0.000
0.798 0.798 0.000
```

Entry 20:
Pm8Te4As3S after structural relaxation. Source: the Alexandria database, functional PBE.

Calculated values
As for the raw formation energy: -1.590 eV per atom. Its total magnetic moment is 0.00 μB per atom.

The structure in POSCAR format:
```
Pm8Te4As3S
1.0
4.273 2.467 7.274
-4.273 2.467 7.274
0.000 -4.934 7.274
Pm Te As S
8 4 3 1
Direct
0.240 0.240 0.240
0.242 0.737 0.737
0.263 0.263 0.758
0.263 0.758 0.263
0.737 0.242 0.737
0.737 0.737 0.242
0.758 0.263 0.263
0.760 0.760 0.760
0.000 0.000 0.000
0.000 0.500 0.500
0.500 0.000 0.500
0.500 0.500 0.000
0.000 0.000 0.500
0.000 0.500 0.000
0.500 0.000 0.000
0.500 0.500 0.500
```

no.,final energy (eV per atom),Fermi-level density of states (states/eV/f.u.)
1,-3.440,5.000
2,-7.409,5.600
3,-5.207,4.519
4,-1.585,5.226
5,-4.725,2.708
6,-5.245,3.192
7,-5.910,10.326
8,-2.988,3.559
9,-4.042,2.202
10,-5.484,8.604
11,-1.958,2.415
12,-4.701,3.374
13,-5.059,5.886
14,-4.846,0.995
15,-4.566,4.799
16,-5.291,0.921
17,-5.750,4.071
18,-3.021,1.962
19,-10.389,6.231
20,-5.880,8.039